Computed, not measured: InAs after structural relaxation at the PBEsol level of DFT.

Values from the calculation:
* E_form: 0.16 eV/f.u.
* calculated density: 6.638 g/cm³
* density of states at the Fermi level: 0.39 states/eV per atom

abc: 3.5254 3.5254 8.8199
angles: 90.00 90.00 120.00
With the nearest neighbours (Å) after each atom.
Space group P-3m1 (No. 164)
Inequivalent atoms, fractional coordinates:
In 0.3333 0.6667 0.1438 (multiplicity 2)  3 As 3.14, 3 In 3.25
As 0.3333 0.6667 0.5855 (multiplicity 2)  3 As 2.53

---

Computed, not measured: In2AsIr after structural relaxation at the PBEsol level of DFT.

Values from the calculation:
* E_form: 0.97 eV/f.u.
* calculated density: 11.159 g/cm³
* density of states at the Fermi level: 0.23 states/eV per atom

abc: 4.2431 4.2431 8.2122
angles: 90.00 90.00 90.00
With the nearest neighbours (Å) after each atom.
Space group I-4m2 (No. 119)
Inequivalent atoms, fractional coordinates:
In 0.0000 0.0000 0.0000 (multiplicity 2)  4 In 2.95, 4 As 2.95, 4 Ir 3.00
In 0.0000 0.5000 0.2500 (multiplicity 2)  4 Ir 2.95, 4 In 2.95, 4 As 3.00
As 0.0000 0.5000 0.7500 (multiplicity 2)  8 In 2.95-3.00, 4 Ir 2.95
Ir 0.0000 0.0000 0.5000 (multiplicity 2)  8 In 2.95-3.00, 4 As 2.95

---

Computed, not measured: InAsIr2 after structural relaxation at the PBEsol level of DFT.

Values from the calculation:
* energy above the lowest structure with this stoichiometry: 52 meV/atom
* E_form: 0.58 eV/f.u.
* calculated density: 14.948 g/cm³
* density of states at the Fermi level: 0.59 states/eV per atom

abc: 4.5384 2.9657 5.0964
angles: 90.00 111.59 90.00
With the nearest neighbours (Å) after each atom.
Space group P2/m (No. 10)
Inequivalent atoms, fractional coordinates:
In 0.0000 0.0000 0.0000 (multiplicity 1)  6 Ir 2.71-2.72, 4 As 2.95, 2 In 2.97
As 0.0000 0.5000 0.5000 (multiplicity 1)  6 Ir 2.71-2.72, 4 In 2.95, 2 As 2.97
Ir 0.5000 0.0000 0.5000 (multiplicity 1)  4 As 2.71, 2 In 2.72, 6 Ir 2.95-2.97
Ir 0.5000 0.5000 0.0000 (multiplicity 1)  4 In 2.71, 2 As 2.72, 6 Ir 2.95-2.97

---

Computed, not measured: In2AsIr after structural relaxation at the PBEsol level of DFT.

Values from the calculation:
* E_form: 0.83 eV/f.u.
* calculated density: 11.173 g/cm³
* density of states at the Fermi level: 0.31 states/eV per atom

abc: 4.4107 4.4107 3.7951
angles: 90.00 90.00 90.00
With the nearest neighbours (Å) after each atom.
Space group P4/mmm (No. 123)
Inequivalent atoms, fractional coordinates:
In 0.0000 0.5000 0.0000 (multiplicity 2)  4 Ir 2.91, 4 As 2.91, 4 In 3.12
As 0.0000 0.0000 0.5000 (multiplicity 1)  8 In 2.91, 4 Ir 3.12
Ir 0.5000 0.5000 0.5000 (multiplicity 1)  8 In 2.91, 4 As 3.12

---

Computed, not measured: InAs2Ir after structural relaxation at the PBEsol level of DFT.

Values from the calculation:
* E_form: -0.25 eV/f.u.
* calculated density: 9.443 g/cm³
* density of states at the Fermi level: 0.60 states/eV per atom

abc: 3.7926 3.7926 19.3494
angles: 90.00 90.00 120.00
With the nearest neighbours (Å) after each atom.
Space group R-3m (No. 166, hexagonal axes)
Inequivalent atoms, fractional coordinates:
In 0.0000 0.0000 0.0000 (multiplicity 3)  6 As 2.98
As 0.0000 0.0000 0.2289 (multiplicity 6)  3 Ir 2.50
Ir 0.0000 0.0000 0.5000 (multiplicity 3)  6 As 2.50

---

Computed, not measured: InAsIr2 after structural relaxation at the PBEsol level of DFT.

Values from the calculation:
* energy above the lowest structure with this stoichiometry: 68 meV/atom
* E_form: 0.64 eV/f.u.
* calculated density: 15.016 g/cm³
* density of states at the Fermi level: 0.47 states/eV per atom

abc: 4.2344 4.2344 3.5413
angles: 90.00 90.00 90.00
With the nearest neighbours (Å) after each atom.
Space group P4/mmm (No. 123)
Inequivalent atoms, fractional coordinates:
In 0.0000 0.0000 0.0000 (multiplicity 1)  8 Ir 2.76, 4 As 2.99
As 0.5000 0.5000 0.0000 (multiplicity 1)  8 Ir 2.76, 4 In 2.99
Ir 0.0000 0.5000 0.5000 (multiplicity 2)  4 As 2.76, 4 In 2.76, 4 Ir 2.99

---

Computed, not measured: InAs2Ir2 after structural relaxation at the PBEsol level of DFT.

Values from the calculation:
* E_form: 0.48 eV/f.u.
* calculated density: 12.097 g/cm³
* density of states at the Fermi level: 0.64 states/eV per atom

abc: 3.9145 3.9145 11.6300
angles: 90.00 90.00 90.00
With the nearest neighbours (Å) after each atom.
Space group I4/mmm (No. 139)
Inequivalent atoms, fractional coordinates:
In 0.0000 0.0000 0.0000 (multiplicity 2)  8 Ir 3.05
As 0.0000 0.5000 0.2500 (multiplicity 4)  4 Ir 2.54, 4 As 2.77
Ir 0.0000 0.0000 0.3893 (multiplicity 4)  4 As 2.54, 1 Ir 2.58

---

Computed, not measured: In2AsIr after structural relaxation at the PBEsol level of DFT.

Values from the calculation:
* E_form: -0.19 eV/f.u.
* calculated density: 10.161 g/cm³
* density of states at the Fermi level: 0.39 states/eV per atom

abc: 2.9805 4.5915 11.8649
angles: 90.00 90.00 90.00
With the nearest neighbours (Å) after each atom.
Space group Imm2 (No. 44)
Inequivalent atoms, fractional coordinates:
In 0.0000 0.0000 0.0000 (multiplicity 2)  4 Ir 2.74, 2 In 2.98
In 0.0000 0.5000 0.1999 (multiplicity 2)  2 Ir 2.93, 2 In 2.98, 4 As 3.06
As 0.0000 0.5000 0.8152 (multiplicity 2)  2 Ir 2.53
Ir 0.0000 0.0000 0.4875 (multiplicity 2)  2 As 2.53, 4 In 2.74

---

- What is the density of states at the Fermi level in the seventh record?
  0.64 states/eV per atom

---

- E_form of number 7 (InAs2Ir2)?
  0.48 eV/f.u.